# 1
Computed, not measured: a relaxed structure of HgTe2Au at the PBE-GGA level of DFT.

The final energy comes out at -2.41 eV per atom. The calculation puts the uncorrected formation energy at 54 meV/atom.

The space group is C2/c (No. 15) and the conventional cell measures 6.4666, 14.1823 and 5.8025 Å, with angles of 90.00, 120.68 and 90.00 degrees. The asymmetric unit holds Hg at (0.0000, 0.1048, 0.2500), Te at (0.2302, 0.3526, 0.2011) and Au at (0.0000, 0.4669, 0.7500).

# 2
Computed, not measured: a relaxed structure of LiCaDy at the PBE-GGA level of DFT.

The final energy comes out at -2.70 eV per atom. The formation enthalpy at 0 K comes out at 141 meV per atom.

The space group is I4mm (No. 107) and the conventional cell measures 3.7152, 3.7152 and 13.2767 Å, with angles of 90.00, 90.00 and 90.00 degrees. The asymmetric unit holds Li at (0.0000, 0.0000, 0.0000), Ca at (0.0000, 0.0000, 0.3459) and Dy at (0.0000, 0.0000, 0.6435).

# 3
Computed, not measured: a relaxed structure of AsPdRh3 at the PBE-GGA level of DFT.

The final energy comes out at -4.83 eV per atom. The formation enthalpy at 0 K comes out at 1550 meV per atom.

The space group is Pm-3m (No. 221) and the conventional cell measures 4.7330, 4.7330 and 4.7330 Å, with angles of 90.00, 90.00 and 90.00 degrees. The asymmetric unit holds As at (0.0000, 0.0000, 0.0000), Pd at (0.5000, 0.5000, 0.5000) and Rh at (0.0000, 0.5000, 0.5000).

# 4
Computed, not measured: a relaxed structure of La5Nd2Er4 at the PBE-GGA level of DFT.

The final energy comes out at -4.69 eV per atom. The formation enthalpy at 0 K comes out at 74 meV per atom.

The space group is C2/m (No. 12) and the conventional cell measures 17.9687, 3.5739 and 11.7982 Å, with angles of 90.00, 93.80 and 90.00 degrees. The asymmetric unit holds La at (0.0000, 0.0000, 0.0000), La at (0.0954, 0.5000, 0.5328), La at (0.1758, 0.5000, 0.0716), Nd at (0.2170, 0.0000, 0.3489), Er at (0.0320, 0.5000, 0.2597) and Er at (0.1394, 0.0000, 0.7991).

# 5
Computed, not measured: a relaxed structure of HgGeAsBr at the PBE-GGA level of DFT.

The final energy comes out at -2.99 eV per atom. The calculation puts the uncorrected formation energy at -176 meV/atom.

The space group is Cm (No. 8) and the conventional cell measures 6.7497, 3.8961 and 8.9336 Å, with angles of 90.00, 90.16 and 90.00 degrees. The asymmetric unit holds Hg at (0.0000, 0.0000, 0.0000), Ge at (0.0016, 0.0000, 0.2867), As at (0.1688, 0.5000, 0.4111) and Br at (0.3331, 0.0000, 0.8027).